The following is a DFT calculation (PBE with a Hubbard U) of crystalline NpVInO6 at its relaxed geometry.

Lattice parameters (Å, degrees): 5.392 5.392 9.062 90.00 90.00 120.00
Element x y z (fractional)
Np1 0.333 0.667 0.250
Np2 0.667 0.333 0.750
V1 0.000 0.000 0.000
V2 0.000 0.000 0.500
In1 0.333 0.667 0.750
In2 0.667 0.333 0.250
O1 0.017 0.332 0.125
O2 0.017 0.685 0.375
O3 0.315 0.332 0.375
O4 0.315 0.983 0.125
O5 0.332 0.017 0.625
O6 0.332 0.315 0.875
O7 0.668 0.685 0.125
O8 0.668 0.983 0.375
O9 0.685 0.017 0.875
O10 0.685 0.668 0.625
O11 0.983 0.315 0.625
O12 0.983 0.668 0.875

Results
N(E_F) (states/eV/cell): 0.017
Mass density (g/cm³): 7.259
E_tot (eV/atom): -7.99